Entry 1:
# GGA-PBE BiW3Au, relaxed
# - energy relative to the elements (eV per atom) = 3.1609
data_BiW3Au
_symmetry_space_group_name_H-M 'P m -3 m'
_symmetry_Int_Tables_number 221
_symmetry_space_group_name_Hall '-P 4 2 3'
_cell_length_a 4.9838
_cell_length_b 4.9838
_cell_length_c 4.9838
_cell_angle_alpha 90.00
_cell_angle_beta 90.00
_cell_angle_gamma 90.00
loop_
_atom_site_label
_atom_site_fract_x
_atom_site_fract_y
_atom_site_fract_z
Bi1 0.0000 0.0000 0.0000
W1 0.0000 0.0000 0.5000
Au1 0.5000 0.5000 0.5000


Entry 2:
# GGA-PBE ScFeTc3, relaxed
# - energy relative to the elements (eV per atom) = 2.2013
data_ScFeTc3
_symmetry_space_group_name_H-M 'P m -3 m'
_symmetry_Int_Tables_number 221
_symmetry_space_group_name_Hall '-P 4 2 3'
_cell_length_a 4.4731
_cell_length_b 4.4731
_cell_length_c 4.4731
_cell_angle_alpha 90.00
_cell_angle_beta 90.00
_cell_angle_gamma 90.00
loop_
_atom_site_label
_atom_site_fract_x
_atom_site_fract_y
_atom_site_fract_z
Sc1 0.0000 0.0000 0.0000
Fe1 0.5000 0.5000 0.5000
Tc1 0.0000 0.0000 0.5000


Entry 3:
# GGA-PBE BaPtBr2, relaxed
# - raw formation energy (eV/atom) = -0.5160
data_BaPtBr2
_symmetry_space_group_name_H-M 'F -4 3 m'
_symmetry_Int_Tables_number 216
_symmetry_space_group_name_Hall 'F -4 2 3'
_cell_length_a 7.6516
_cell_length_b 7.6516
_cell_length_c 7.6516
_cell_angle_alpha 90.00
_cell_angle_beta 90.00
_cell_angle_gamma 90.00
loop_
_atom_site_label
_atom_site_fract_x
_atom_site_fract_y
_atom_site_fract_z
Ba1 0.0000 0.0000 0.0000
Pt1 0.2500 0.2500 0.2500
Br1 0.0000 0.0000 0.5000
Br2 0.2500 0.2500 0.7500


Entry 4:
# GGA-PBE La2OsPt, relaxed
# - energy relative to the elements (eV per atom) = -0.3107
data_La2OsPt
_symmetry_space_group_name_H-M 'C 1 2/m 1'
_symmetry_Int_Tables_number 12
_cell_length_a 7.3467
_cell_length_b 4.1136
_cell_length_c 7.3761
_cell_angle_alpha 90.00
_cell_angle_beta 108.14
_cell_angle_gamma 90.00
loop_
_symmetry_equiv_pos_as_xyz
'x,y,z'
'-x,-y,-z'
'-x,y,-z'
'x,-y,z'
'x+1/2,y+1/2,z'
'-x+1/2,-y+1/2,-z'
'-x+1/2,y+1/2,-z'
'x+1/2,-y+1/2,z'
loop_
_atom_site_label
_atom_site_fract_x
_atom_site_fract_y
_atom_site_fract_z
La1 0.2476 0.0000 0.2358
Os1 0.0000 0.5000 0.0000
Pt1 0.0000 0.0000 0.5000


| no. | total magnetic moment (μB/f.u.) |
| --- | --- |
| 1 | 0.00 |
| 2 | 0.00 |
| 3 | 0.00 |
| 4 | 0.00 |